1.
Material: TbSm2Tm2
Method: DFT, PBE
State: relaxed

Unit cell a=3.573 b=3.570 c=16.195 alpha=63.89 beta=83.67 gamma=59.97
Fractional coordinates of all 5 atoms:
Sm 0.763 0.580 0.895
Tm 0.297 0.710 0.696
Sm 0.237 0.420 0.105
Tb 0.500 0.500 0.500
Tm 0.703 0.290 0.304

Calculated values
energy = -4.5962 eV per atom
symmetry = C2/m (12)


2.
Material: VInGe
Method: DFT, PBE
State: relaxed

Unit cell a=5.656 b=6.118 c=7.287 alpha=90.00 beta=90.00 gamma=117.53
Fractional coordinates of all 12 atoms:
Ge 0.816 0.633 0.419
Ge 0.684 0.367 0.919
V 0.892 0.785 0.090
In 0.160 0.820 0.750
V 0.608 0.215 0.590
In 0.660 0.820 0.750
In 0.840 0.180 0.250
In 0.340 0.180 0.250
Ge 0.184 0.367 0.581
Ge 0.316 0.633 0.081
V 0.392 0.785 0.410
V 0.108 0.215 0.910

Calculated values
energy = -5.2453 eV per atom
symmetry = Cmce (64)


3.
Material: Nd2SmY3Se6
Method: DFT, PBE
State: relaxed

Unit cell a=4.120 b=8.369 c=9.297 alpha=103.83 beta=102.80 gamma=90.00
Fractional coordinates of all 12 atoms:
Nd 0.167 0.334 0.334
Y 0.168 0.833 0.335
Nd 0.833 0.666 0.666
Se 0.332 0.925 0.664
Y 0.832 0.167 0.665
Se 0.668 0.075 0.336
Se 0.663 0.591 0.327
Y 0.500 0.500 0.000
Se 0.003 0.746 0.006
Sm 0.500 0.000 0.000
Se 0.997 0.254 0.994
Se 0.337 0.409 0.673

Calculated values
energy = -6.3478 eV per atom
symmetry = C2/m (12)
E_form (uncorrected) = -1802 meV/atom


4.
Material: TlInGaGe
Method: DFT, PBE
State: relaxed

Unit cell a=5.149 b=5.149 c=5.149 alpha=60.00 beta=60.00 gamma=60.00
Fractional coordinates of all 4 atoms:
In 0.750 0.750 0.750
Ga 0.000 0.000 0.000
Tl 0.250 0.250 0.250
Ge 0.500 0.500 0.500

Calculated values
energy = -3.0231 eV per atom
symmetry = F-43m (216)